Compound: SrYMg6O8
Source: the Alexandria database
Functional: PBE-GGA
Structure: optimized geometry

Cell and atoms, written as POSCAR:
```
SrYMg6O8
1.0
-2.1897 -1.3731 -3.8242
-1.3316 -3.8618 2.1490
-7.4961 4.1450 2.8038
Sr Y Mg O
1 1 6 8
direct
0.5000 0.5000 0.0000
0.0000 0.0000 0.0000
0.0000 0.0000 0.5000
0.5000 0.5000 0.5000
0.0000 0.5000 0.2742
0.0000 0.5000 0.7258
0.5000 0.0000 0.2742
0.5000 0.0000 0.7258
0.0000 0.0000 0.2615
0.0000 0.0000 0.7385
0.5000 0.5000 0.2753
0.5000 0.5000 0.7247
0.0000 0.5000 0.0000
0.0000 0.5000 0.5000
0.5000 0.0000 0.0000
0.5000 0.0000 0.5000
```

Properties
Energy relative to the elements, uncorrected ... -40.04 eV/f.u.
Energy above the most stable polymorph in this dataset ... 0.000 eV/atom
Density ... 3.9 Mg/m³

***

Compound: SrYMg6O8
Source: the Alexandria database
Functional: PBE-GGA
Structure: optimized geometry

Cell and atoms, written as POSCAR:
```
SrYMg6O8
1.0
-4.1573 1.4984 1.3246
-1.9952 -3.3171 -2.5096
0.2734 -5.6418 7.2397
Sr Y Mg O
1 1 6 8
direct
0.0000 0.0000 0.5000
0.0000 0.0000 0.0000
0.5000 0.5000 0.0000
0.5000 0.5000 0.5000
0.0000 0.5000 0.2561
0.0000 0.5000 0.7439
0.5000 0.0000 0.2561
0.5000 0.0000 0.7439
0.0000 0.0000 0.2396
0.0000 0.0000 0.7604
0.5000 0.5000 0.2520
0.5000 0.5000 0.7480
0.0000 0.5000 0.0000
0.0000 0.5000 0.5000
0.5000 0.0000 0.0000
0.5000 0.0000 0.5000
```

Properties
Energy relative to the elements, uncorrected ... -39.24 eV/f.u.
Energy above the most stable polymorph in this dataset ... 0.050 eV/atom
Density ... 3.8 Mg/m³

***

Compound: SrMg6ZnO8
Source: the Alexandria database
Functional: PBE-GGA
Structure: optimized geometry

Cell and atoms, written as POSCAR:
```
SrMg6ZnO8
1.0
4.4884 0.0000 0.0000
0.0000 4.4884 0.0000
0.0000 0.0000 8.7397
Sr Mg Zn O
1 6 1 8
direct
0.5000 0.5000 0.0000
0.0000 0.0000 0.5000
0.5000 0.5000 0.5000
0.0000 0.5000 0.2607
0.0000 0.5000 0.7393
0.5000 0.0000 0.2607
0.5000 0.0000 0.7393
0.0000 0.0000 0.0000
0.0000 0.0000 0.2546
0.0000 0.0000 0.7454
0.5000 0.5000 0.2732
0.5000 0.5000 0.7268
0.0000 0.5000 0.0000
0.0000 0.5000 0.5000
0.5000 0.0000 0.0000
0.5000 0.0000 0.5000
```

Properties
Energy relative to the elements, uncorrected ... -37.82 eV/f.u.
Energy above the most stable polymorph in this dataset ... 0.000 eV/atom
Density ... 4.0 Mg/m³

***

Compound: SrMg30ZnO32
Source: the Alexandria database
Functional: PBE-GGA
Structure: optimized geometry

Cell and atoms, written as POSCAR:
```
SrMg30ZnO32
1.0
-0.0827 6.9315 -5.0854
-3.4361 -4.6884 -6.3345
-7.8895 1.9738 2.8187
Sr Mg Zn O
1 30 1 32
direct
0.5000 0.5000 0.0000
0.0000 0.5000 0.0000
0.5000 0.0000 0.0000
0.0000 0.0000 0.5000
0.0000 0.5000 0.5000
0.5000 0.0000 0.5000
0.5000 0.5000 0.5000
0.2449 0.2449 0.0000
0.2449 0.7551 0.0000
0.7551 0.2449 0.0000
0.7551 0.7551 0.0000
0.2495 0.2495 0.5000
0.2495 0.7505 0.5000
0.7505 0.2495 0.5000
0.7505 0.7505 0.5000
0.0000 0.2492 0.2510
0.0000 0.7508 0.2510
0.5000 0.2448 0.2553
0.5000 0.7552 0.2553
0.0000 0.2492 0.7490
0.0000 0.7508 0.7490
0.5000 0.2448 0.7447
0.5000 0.7552 0.7447
0.2492 0.0000 0.2510
0.2448 0.5000 0.2553
0.7508 0.0000 0.2510
0.7552 0.5000 0.2553
0.2492 0.0000 0.7490
0.2448 0.5000 0.7447
0.7508 0.0000 0.7490
0.7552 0.5000 0.7447
0.0000 0.0000 0.0000
0.0000 0.0000 0.2551
0.0000 0.5000 0.2537
0.5000 0.0000 0.2537
0.5000 0.5000 0.2702
0.0000 0.0000 0.7449
0.0000 0.5000 0.7463
0.5000 0.0000 0.7463
0.5000 0.5000 0.7298
0.2499 0.2499 0.2495
0.2499 0.7501 0.2495
0.7501 0.2499 0.2495
0.7501 0.7501 0.2495
0.2499 0.2499 0.7505
0.2499 0.7501 0.7505
0.7501 0.2499 0.7505
0.7501 0.7501 0.7505
0.0000 0.2488 0.0000
0.0000 0.7512 0.0000
0.5000 0.2297 0.0000
0.5000 0.7703 0.0000
0.0000 0.2493 0.5000
0.0000 0.7507 0.5000
0.5000 0.2462 0.5000
0.5000 0.7538 0.5000
0.2488 0.0000 0.0000
0.2297 0.5000 0.0000
0.7512 0.0000 0.0000
0.7703 0.5000 0.0000
0.2493 0.0000 0.5000
0.2462 0.5000 0.5000
0.7507 0.0000 0.5000
0.7538 0.5000 0.5000
```

Properties
Energy relative to the elements, uncorrected ... -168.15 eV/f.u.
Density ... 3.6 Mg/m³

***

Compound: SrMgZnO3
Source: the Alexandria database
Functional: PBE-GGA
Structure: optimized geometry

Cell and atoms, written as POSCAR:
```
SrMgZnO3
1.0
-0.3338 3.1310 -0.6045
-3.6987 -1.2633 -4.5014
-4.8520 0.8784 7.2285
Sr Mg Zn O
2 2 2 6
direct
0.2500 0.2831 0.2869
0.7500 0.7169 0.7131
0.2500 0.7010 0.0898
0.7500 0.2990 0.9102
0.2500 0.1791 0.6327
0.7500 0.8209 0.3673
0.7500 0.9375 0.1770
0.2500 0.0625 0.8230
0.2500 0.7473 0.4761
0.7500 0.2527 0.5239
0.7500 0.4760 0.1439
0.2500 0.5240 0.8561
```

Properties
Energy relative to the elements, uncorrected ... -13.07 eV/f.u.
Density ... 4.7 Mg/m³

***

Compound: SrMg6ZnO8
Source: the Alexandria database
Functional: PBE-GGA
Structure: optimized geometry

Cell and atoms, written as POSCAR:
```
SrMg6ZnO8
1.0
4.5149 0.0000 0.0000
0.0000 4.5149 0.0000
0.0000 0.0000 8.6768
Sr Mg Zn O
1 6 1 8
direct
0.0000 0.0000 0.5000
0.5000 0.5000 0.0000
0.5000 0.5000 0.5000
0.0000 0.5000 0.2379
0.0000 0.5000 0.7621
0.5000 0.0000 0.2379
0.5000 0.0000 0.7621
0.0000 0.0000 0.0000
0.0000 0.0000 0.2279
0.0000 0.0000 0.7721
0.5000 0.5000 0.2485
0.5000 0.5000 0.7515
0.0000 0.5000 0.0000
0.0000 0.5000 0.5000
0.5000 0.0000 0.0000
0.5000 0.0000 0.5000
```

Properties
Energy relative to the elements, uncorrected ... -37.76 eV/f.u.
Energy above the most stable polymorph in this dataset ... 0.004 eV/atom
Density ... 4.0 Mg/m³

***

Compound: MgTa2O
Source: the Alexandria database
Functional: PBE-GGA
Structure: optimized geometry

Cell and atoms, written as POSCAR:
```
MgTa2O
1.0
0.0000 3.1562 3.1562
3.1562 0.0000 3.1562
3.1562 3.1562 0.0000
Mg O Ta
1 1 2
direct
0.5000 0.5000 0.5000
0.0000 0.0000 0.0000
0.2500 0.2500 0.2500
0.7500 0.7500 0.7500
```

Properties
Energy relative to the elements, uncorrected ... 3.22 eV/f.u.
Energy above the most stable polymorph in this dataset ... 0.822 eV/atom
Density ... 10.6 Mg/m³

***

Compound: Mg4Ta2O9
Source: the Alexandria database
Functional: PBE-GGA
Structure: optimized geometry

Cell and atoms, written as POSCAR:
```
Mg4Ta2O9
1.0
-1.4511 2.8218 4.1326
-3.2443 -3.5547 -1.9965
5.4653 -9.8392 8.6374
Mg Ta O
8 4 18
direct
0.3333 0.6667 0.0167
0.6667 0.3333 0.4833
0.6667 0.3333 0.9833
0.3333 0.6667 0.5167
0.3333 0.6667 0.8092
0.6667 0.3333 0.6908
0.6667 0.3333 0.1908
0.3333 0.6667 0.3092
0.0000 0.0000 0.3572
0.0000 0.0000 0.1428
0.0000 0.0000 0.6428
0.0000 0.0000 0.8572
0.2882 0.2882 0.7500
0.0000 0.7118 0.7500
0.7118 0.0000 0.7500
0.7118 0.7118 0.2500
0.0000 0.2882 0.2500
0.2882 0.0000 0.2500
0.6828 0.6540 0.5847
0.3460 0.0288 0.5847
0.9712 0.3172 0.5847
0.0288 0.3460 0.9153
0.3172 0.9712 0.9153
0.6540 0.6828 0.9153
0.3460 0.3172 0.0847
0.6828 0.0288 0.0847
0.9712 0.6540 0.0847
0.0288 0.6828 0.4153
0.6540 0.9712 0.4153
0.3172 0.3460 0.4153
```

Properties
Energy relative to the elements, uncorrected ... -42.49 eV/f.u.
Density ... 6.0 Mg/m³